1.
Compound: La2PrGa
Source: the Alexandria database
Functional: GGA-PBE
Structure: relaxed

abc: 7.8803 7.8803 7.8803
angles: 90.00 90.00 90.00
Space group Fm-3m (No. 225)
Asymmetric unit:
La 0.2500 0.2500 0.2500 x8
Pr 0.0000 0.0000 0.0000 x4
Ga 0.0000 0.0000 0.5000 x4

DFT total energy = -4.505 eV/atom

=====

2.
Compound: SrYSb2
Source: the Alexandria database
Functional: GGA-PBE
Structure: relaxed

abc: 4.9440 5.8580 8.4418
angles: 90.00 90.00 90.00
Space group Cmmm (No. 65)
Asymmetric unit:
Sr 0.0000 0.0000 0.0000 x2
Y 0.0000 0.0000 0.5000 x2
Sb 0.0000 0.5000 0.2717 x4

Energy relative to the elements, uncorrected = -856.2 meV per atom

=====

3.
Compound: CsV3N
Source: the Alexandria database
Functional: GGA-PBE
Structure: relaxed

abc: 4.7261 4.7261 4.7261
angles: 90.00 90.00 90.00
Space group Pm-3m (No. 221)
Asymmetric unit:
Cs 0.0000 0.0000 0.0000 x1
V 0.0000 0.0000 0.5000 x3
N 0.5000 0.5000 0.5000 x1

Energy relative to the elements, uncorrected = 3618.8 meV per atom

=====

4.
Compound: La2MgBe
Source: the Alexandria database
Functional: GGA-PBE
Structure: relaxed

abc: 4.6625 4.6625 15.9969
angles: 90.00 90.00 120.00
Space group R3m (No. 160, hexagonal axes)
Asymmetric unit:
La 0.0000 0.0000 0.0000 x3
La 0.0000 0.0000 0.2328 x3
Mg 0.0000 0.0000 0.4543 x3
Be 0.0000 0.0000 0.7913 x3

DFT total energy = -3.626 eV/atom

=====

5.
Compound: BaPrY
Source: the Alexandria database
Functional: GGA-PBE
Structure: relaxed

abc: 3.8314 3.8314 9.5346
angles: 90.00 90.00 120.00
Space group P3m1 (No. 156)
Asymmetric unit:
Ba 0.0000 0.0000 0.0000 x1
Pr 0.3333 0.6667 0.6400 x1
Y 0.6667 0.3333 0.3478 x1

DFT total energy = -4.231 eV/atom

=====

6.
Compound: Cs3Ac3HoTe8
Source: the Alexandria database
Functional: GGA-PBE
Structure: relaxed

abc: 16.5749 9.5560 10.7010
angles: 90.00 121.15 90.00
Space group C2/m (No. 12)
Asymmetric unit:
Cs 0.0000 0.0000 0.0000 x2
Cs 0.2500 0.2500 0.0000 x4
Ac 0.0000 0.5000 0.5000 x2
Ac 0.2500 0.2500 0.5000 x4
Ho 0.0000 0.0000 0.5000 x2
Te 0.0146 0.2345 0.3093 x8
Te 0.2200 0.0000 0.6907 x4
Te 0.2348 0.5000 0.7043 x4

Energy relative to the elements, uncorrected = -1377.5 meV per atom

=====

7.
Compound: RbBa3Pt
Source: the Alexandria database
Functional: GGA-PBE
Structure: relaxed

abc: 6.4566 6.4566 6.4566
angles: 90.00 90.00 90.00
Space group Pm-3m (No. 221)
Asymmetric unit:
Rb 0.0000 0.0000 0.0000 x1
Ba 0.0000 0.5000 0.5000 x3
Pt 0.5000 0.5000 0.5000 x1

DFT total energy = -2.902 eV/atom

=====

8.
Compound: Ba4ZnSb
Source: the Alexandria database
Functional: GGA-PBE
Structure: relaxed

abc: 10.2098 10.2098 10.2098
angles: 90.00 90.00 90.00
Space group F-43m (No. 216)
Asymmetric unit:
Ba 0.1236 0.1236 0.1236 x16
Zn 0.0000 0.0000 0.5000 x4
Sb 0.2500 0.2500 0.7500 x4

Energy relative to the elements, uncorrected = 249.4 meV per atom

=====

9.
Compound: Pa2GaAg
Source: the Alexandria database
Functional: GGA-PBE
Structure: relaxed

abc: 3.0571 3.0571 34.1487
angles: 90.00 90.00 120.00
Space group R-3m (No. 166, hexagonal axes)
Asymmetric unit:
Pa 0.0000 0.0000 0.0917 x6
Ga 0.0000 0.0000 0.5000 x3
Ag 0.0000 0.0000 0.0000 x3

DFT total energy = -6.025 eV/atom

=====

10.
Compound: Pm2Pr6NdTh
Source: the Alexandria database
Functional: GGA-PBE
Structure: relaxed

abc: 9.3470 15.2462 10.1652
angles: 90.00 100.38 90.00
Space group C2/c (No. 15)
Asymmetric unit:
Pm 0.2349 0.0446 0.0458 x8
Pr 0.0724 0.1804 0.4446 x8
Pr 0.0974 0.3982 0.6208 x8
Pr 0.2027 0.2183 0.8134 x8
Nd 0.0000 0.4044 0.2500 x4
Th 0.0000 0.0192 0.7500 x4

DFT total energy = -4.898 eV/atom

=====

11.
Compound: YBeCo2
Source: the Alexandria database
Functional: GGA-PBE
Structure: relaxed

abc: 3.9888 3.9888 3.4781
angles: 90.00 90.00 90.00
Space group P4/mmm (No. 123)
Asymmetric unit:
Y 0.0000 0.0000 0.0000 x1
Be 0.5000 0.5000 0.0000 x1
Co 0.0000 0.5000 0.5000 x2

DFT total energy = -5.937 eV/atom

=====

12.
Compound: K3Ac2HfTe6
Source: the Alexandria database
Functional: GGA-PBE
Structure: relaxed

abc: 8.0189 13.8942 8.7100
angles: 90.00 108.15 90.00
Space group C2/m (No. 12)
Asymmetric unit:
K 0.0000 0.0000 0.0000 x2
K 0.0000 0.3253 0.0000 x4
Ac 0.0000 0.1656 0.5000 x4
Hf 0.0000 0.5000 0.5000 x2
Te 0.2215 0.3497 0.7138 x8
Te 0.2258 0.5000 0.2848 x4

Energy relative to the elements, uncorrected = -1239.3 meV per atom

=====

Q: Which formula does entry 1 have?
A: La2PrGa